(1)
# Sb2PdPbI GGA-PBE relaxed
# - V (A^3/atom) = 40.96
data_Sb2PdPbI
_chemical_formula_sum 'Sb2 Pd1 Pb1 I1'
_cell_length_a 5.813
_cell_length_b 5.813
_cell_length_c 6.061
_cell_angle_alpha 90.00
_cell_angle_beta 90.00
_cell_angle_gamma 90.00
_space_group_name_H-M_alt 'P 4/m m m'
_space_group_IT_number 123
_space_group_name_Hall '-P 4 2'
loop_
_atom_site_label
_atom_site_type_symbol
_atom_site_fract_x
_atom_site_fract_y
_atom_site_fract_z
_atom_site_occupancy
Sb1 Sb 0.000 0.500 0.000 1
Pd1 Pd 0.000 0.000 0.500 1
Pb1 Pb 0.500 0.500 0.000 1
I1 I 0.500 0.500 0.500 1

(2)
# Sb2PdPbI GGA-PBE relaxed
# - V (A^3/atom) = 31.15
data_Sb2PdPbI
_chemical_formula_sum 'Sb2 Pd1 Pb1 I1'
_cell_length_a 5.246
_cell_length_b 5.246
_cell_length_c 5.661
_cell_angle_alpha 90.00
_cell_angle_beta 90.00
_cell_angle_gamma 90.00
_space_group_name_H-M_alt 'P 4/m m m'
_space_group_IT_number 123
_space_group_name_Hall '-P 4 2'
loop_
_atom_site_label
_atom_site_type_symbol
_atom_site_fract_x
_atom_site_fract_y
_atom_site_fract_z
_atom_site_occupancy
Sb1 Sb 0.000 0.500 0.000 1
Pd1 Pd 0.000 0.000 0.000 1
Pb1 Pb 0.500 0.500 0.500 1
I1 I 0.000 0.000 0.500 1

Which is the most stable structure? (2) is the most stable.

(1)
# Pm2PbI GGA-PBE relaxed
# - V (A^3/atom) = 29.61
data_Pm2PbI
_chemical_formula_sum 'Pm2 Pb1 I1'
_cell_length_a 3.726
_cell_length_b 3.726
_cell_length_c 8.530
_cell_angle_alpha 90.00
_cell_angle_beta 90.00
_cell_angle_gamma 90.00
_space_group_name_H-M_alt 'P 4/m m m'
_space_group_IT_number 123
_space_group_name_Hall '-P 4 2'
loop_
_atom_site_label
_atom_site_type_symbol
_atom_site_fract_x
_atom_site_fract_y
_atom_site_fract_z
_atom_site_occupancy
Pm1 Pm 0.000 0.000 0.249 1
Pb1 Pb 0.500 0.500 0.000 1
I1 I 0.500 0.500 0.500 1

(2)
# Pm2PbI GGA-PBE relaxed
# - V (A^3/atom) = 45.19
data_Pm2PbI
_chemical_formula_sum 'Pm6 Pb3 I3'
_cell_length_a 4.7526
_cell_length_b 4.7526
_cell_length_c 27.7249
_cell_angle_alpha 90.00
_cell_angle_beta 90.00
_cell_angle_gamma 120.00
_space_group_name_H-M_alt 'R -3 m'
_space_group_IT_number 166
_space_group_name_Hall '-R 3 2"'
loop_
_atom_site_label
_atom_site_type_symbol
_atom_site_fract_x
_atom_site_fract_y
_atom_site_fract_z
_atom_site_occupancy
Pm1 Pm 0.0000 0.0000 0.1117 1
Pb1 Pb 0.0000 0.0000 0.5000 1
I1 I 0.0000 0.0000 0.0000 1

Which is the most stable structure? (1) is the most stable.

(1)
# Pm2PbI GGA-PBE relaxed
# - V (A^3/atom) = 34.42
data_Pm2PbI
_chemical_formula_sum 'Pm6 Pb3 I3'
_cell_length_a 4.4926
_cell_length_b 4.4926
_cell_length_c 23.6268
_cell_angle_alpha 90.00
_cell_angle_beta 90.00
_cell_angle_gamma 120.00
_space_group_name_H-M_alt 'R 3 m'
_space_group_IT_number 160
_space_group_name_Hall 'R 3 -2"'
loop_
_atom_site_label
_atom_site_type_symbol
_atom_site_fract_x
_atom_site_fract_y
_atom_site_fract_z
_atom_site_occupancy
Pm1 Pm 0.0000 0.0000 0.0000 1
Pm2 Pm 0.0000 0.0000 0.1888 1
Pb1 Pb 0.0000 0.0000 0.5928 1
I1 I 0.0000 0.0000 0.7627 1

(2)
# Pm2PbI GGA-PBE relaxed
# - V (A^3/atom) = 30.40
data_Pm2PbI
_chemical_formula_sum 'Pm8 Pb4 I4'
_cell_length_a 7.865
_cell_length_b 7.865
_cell_length_c 7.865
_cell_angle_alpha 90.00
_cell_angle_beta 90.00
_cell_angle_gamma 90.00
_space_group_name_H-M_alt 'F m -3 m'
_space_group_IT_number 225
_space_group_name_Hall '-F 4 2 3'
loop_
_atom_site_label
_atom_site_type_symbol
_atom_site_fract_x
_atom_site_fract_y
_atom_site_fract_z
_atom_site_occupancy
Pm1 Pm 0.250 0.250 0.250 1
Pb1 Pb 0.000 0.000 0.000 1
I1 I 0.000 0.000 0.500 1

Which is the most stable structure? (1) is the most stable.

(1)
# Pr2PbI GGA-PBE relaxed
# - V (A^3/atom) = 35.86
data_Pr2PbI
_chemical_formula_sum 'Pr6 Pb3 I3'
_cell_length_a 4.5477
_cell_length_b 4.5477
_cell_length_c 24.0249
_cell_angle_alpha 90.00
_cell_angle_beta 90.00
_cell_angle_gamma 120.00
_space_group_name_H-M_alt 'R 3 m'
_space_group_IT_number 160
_space_group_name_Hall 'R 3 -2"'
loop_
_atom_site_label
_atom_site_type_symbol
_atom_site_fract_x
_atom_site_fract_y
_atom_site_fract_z
_atom_site_occupancy
Pr1 Pr 0.0000 0.0000 0.0000 1
Pr2 Pr 0.0000 0.0000 0.1883 1
Pb1 Pb 0.0000 0.0000 0.5955 1
I1 I 0.0000 0.0000 0.4258 1

(2)
# Pr2PbI GGA-PBE relaxed
# - V (A^3/atom) = 31.51
data_Pr2PbI
_chemical_formula_sum 'Pr8 Pb4 I4'
_cell_length_a 7.959
_cell_length_b 7.959
_cell_length_c 7.959
_cell_angle_alpha 90.00
_cell_angle_beta 90.00
_cell_angle_gamma 90.00
_space_group_name_H-M_alt 'F m -3 m'
_space_group_IT_number 225
_space_group_name_Hall '-F 4 2 3'
loop_
_atom_site_label
_atom_site_type_symbol
_atom_site_fract_x
_atom_site_fract_y
_atom_site_fract_z
_atom_site_occupancy
Pr1 Pr 0.250 0.250 0.250 1
Pb1 Pb 0.000 0.000 0.000 1
I1 I 0.000 0.000 0.500 1

Which is the most stable structure? (1) is the most stable.

(1)
# Pr2PbI GGA-PBE relaxed
# - V (A^3/atom) = 32.53
data_Pr2PbI
_chemical_formula_sum 'Pr6 Pb3 I3'
_cell_length_a 3.8171
_cell_length_b 3.8171
_cell_length_c 30.9351
_cell_angle_alpha 90.00
_cell_angle_beta 90.00
_cell_angle_gamma 120.00
_space_group_name_H-M_alt 'R -3 m'
_space_group_IT_number 166
_space_group_name_Hall '-R 3 2"'
loop_
_atom_site_label
_atom_site_type_symbol
_atom_site_fract_x
_atom_site_fract_y
_atom_site_fract_z
_atom_site_occupancy
Pr1 Pr 0.0000 0.0000 0.2480 1
Pb1 Pb 0.0000 0.0000 0.0000 1
I1 I 0.0000 0.0000 0.5000 1

(2)
# Pr2PbI GGA-PBE relaxed
# - V (A^3/atom) = 36.03
data_Pr2PbI
_chemical_formula_sum 'Pr2 Pb1 I1'
_cell_length_a 4.5028
_cell_length_b 4.5028
_cell_length_c 8.2084
_cell_angle_alpha 90.00
_cell_angle_beta 90.00
_cell_angle_gamma 120.00
_space_group_name_H-M_alt 'P -3 m 1'
_space_group_IT_number 164
_space_group_name_Hall '-P 3 2"'
loop_
_atom_site_label
_atom_site_type_symbol
_atom_site_fract_x
_atom_site_fract_y
_atom_site_fract_z
_atom_site_occupancy
Pr1 Pr 0.3333 0.6667 0.2175 1
Pb1 Pb 0.0000 0.0000 0.0000 1
I1 I 0.0000 0.0000 0.5000 1

Which is the most stable structure? (2) is the most stable.

(1)
# PtPb2I GGA-PBE relaxed
# - V (A^3/atom) = 30.26
data_PtPb2I
_chemical_formula_sum 'Pt3 Pb6 I3'
_cell_length_a 4.1175
_cell_length_b 4.1175
_cell_length_c 24.7291
_cell_angle_alpha 90.00
_cell_angle_beta 90.00
_cell_angle_gamma 120.00
_space_group_name_H-M_alt 'R -3 m'
_space_group_IT_number 166
_space_group_name_Hall '-R 3 2"'
loop_
_atom_site_label
_atom_site_type_symbol
_atom_site_fract_x
_atom_site_fract_y
_atom_site_fract_z
_atom_site_occupancy
Pt1 Pt 0.0000 0.0000 0.0000 1
Pb1 Pb 0.0000 0.0000 0.2691 1
I1 I 0.0000 0.0000 0.5000 1

(2)
# PtPb2I GGA-PBE relaxed
# - V (A^3/atom) = 40.32
data_PtPb2I
_chemical_formula_sum 'Pt4 Pb8 I4'
_cell_length_a 6.699
_cell_length_b 6.699
_cell_length_c 14.374
_cell_angle_alpha 90.00
_cell_angle_beta 90.00
_cell_angle_gamma 90.00
_space_group_name_H-M_alt 'I -4 2 d'
_space_group_IT_number 122
_space_group_name_Hall 'I -4 2bw'
loop_
_atom_site_label
_atom_site_type_symbol
_atom_site_fract_x
_atom_site_fract_y
_atom_site_fract_z
_atom_site_occupancy
Pt1 Pt 0.000 0.000 0.000 1
Pb1 Pb 0.161 0.250 0.125 1
I1 I 0.000 0.000 0.500 1

Which is the most stable structure? (1) is the most stable.

(1)
# Pt2Pb2I GGA-PBE relaxed
# - V (A^3/atom) = 24.27
data_Pt2Pb2I
_chemical_formula_sum 'Pt4 Pb4 I2'
_cell_length_a 7.963
_cell_length_b 7.963
_cell_length_c 3.828
_cell_angle_alpha 90.00
_cell_angle_beta 90.00
_cell_angle_gamma 90.00
_space_group_name_H-M_alt 'P 4/m b m'
_space_group_IT_number 127
_space_group_name_Hall '-P 4 2ab'
loop_
_atom_site_label
_atom_site_type_symbol
_atom_site_fract_x
_atom_site_fract_y
_atom_site_fract_z
_atom_site_occupancy
Pt1 Pt 0.126 0.374 0.000 1
Pb1 Pb 0.159 0.659 0.500 1
I1 I 0.000 0.000 0.000 1

(2)
# Pt2Pb2I GGA-PBE relaxed
# - V (A^3/atom) = 27.44
data_Pt2Pb2I
_chemical_formula_sum 'Pt4 Pb4 I2'
_cell_length_a 3.956
_cell_length_b 3.956
_cell_length_c 17.534
_cell_angle_alpha 90.00
_cell_angle_beta 90.00
_cell_angle_gamma 90.00
_space_group_name_H-M_alt 'I 4/m m m'
_space_group_IT_number 139
_space_group_name_Hall '-I 4 2'
loop_
_atom_site_label
_atom_site_type_symbol
_atom_site_fract_x
_atom_site_fract_y
_atom_site_fract_z
_atom_site_occupancy
Pt1 Pt 0.000 0.500 0.250 1
Pb1 Pb 0.000 0.000 0.131 1
I1 I 0.000 0.000 0.500 1

Which is the most stable structure? (2) is the most stable.

(1)
# PtPbI3 GGA-PBE relaxed
# - V (A^3/atom) = 46.69
data_PtPbI3
_chemical_formula_sum 'Pt1 Pb1 I3'
_cell_length_a 6.157
_cell_length_b 6.157
_cell_length_c 6.157
_cell_angle_alpha 90.00
_cell_angle_beta 90.00
_cell_angle_gamma 90.00
_space_group_name_H-M_alt 'P m -3 m'
_space_group_IT_number 221
_space_group_name_Hall '-P 4 2 3'
loop_
_atom_site_label
_atom_site_type_symbol
_atom_site_fract_x
_atom_site_fract_y
_atom_site_fract_z
_atom_site_occupancy
Pt1 Pt 0.000 0.000 0.000 1
Pb1 Pb 0.500 0.500 0.500 1
I1 I 0.000 0.500 0.500 1

(2)
# PtPbI3 GGA-PBE relaxed
# - V (A^3/atom) = 33.45
data_PtPbI3
_chemical_formula_sum 'Pt1 Pb1 I3'
_cell_length_a 5.510
_cell_length_b 5.510
_cell_length_c 5.510
_cell_angle_alpha 90.00
_cell_angle_beta 90.00
_cell_angle_gamma 90.00
_space_group_name_H-M_alt 'P m -3 m'
_space_group_IT_number 221
_space_group_name_Hall '-P 4 2 3'
loop_
_atom_site_label
_atom_site_type_symbol
_atom_site_fract_x
_atom_site_fract_y
_atom_site_fract_z
_atom_site_occupancy
Pt1 Pt 0.000 0.000 0.000 1
Pb1 Pb 0.500 0.500 0.500 1
I1 I 0.000 0.000 0.500 1

Which is the most stable structure? (2) is the most stable.

(1)
# Te2PtPbI GGA-PBE relaxed
# - V (A^3/atom) = 31.76
data_Te2PtPbI
_chemical_formula_sum 'Te2 Pt1 Pb1 I1'
_cell_length_a 5.359
_cell_length_b 5.359
_cell_length_c 5.530
_cell_angle_alpha 90.00
_cell_angle_beta 90.00
_cell_angle_gamma 90.00
_space_group_name_H-M_alt 'P 4/m m m'
_space_group_IT_number 123
_space_group_name_Hall '-P 4 2'
loop_
_atom_site_label
_atom_site_type_symbol
_atom_site_fract_x
_atom_site_fract_y
_atom_site_fract_z
_atom_site_occupancy
Te1 Te 0.000 0.500 0.000 1
Pt1 Pt 0.000 0.000 0.000 1
Pb1 Pb 0.500 0.500 0.500 1
I1 I 0.000 0.000 0.500 1

(2)
# Te2PtPbI GGA-PBE relaxed
# - V (A^3/atom) = 40.89
data_Te2PtPbI
_chemical_formula_sum 'Te2 Pt1 Pb1 I1'
_cell_length_a 5.871
_cell_length_b 5.871
_cell_length_c 5.931
_cell_angle_alpha 90.00
_cell_angle_beta 90.00
_cell_angle_gamma 90.00
_space_group_name_H-M_alt 'P 4/m m m'
_space_group_IT_number 123
_space_group_name_Hall '-P 4 2'
loop_
_atom_site_label
_atom_site_type_symbol
_atom_site_fract_x
_atom_site_fract_y
_atom_site_fract_z
_atom_site_occupancy
Te1 Te 0.000 0.500 0.000 1
Pt1 Pt 0.000 0.000 0.500 1
Pb1 Pb 0.500 0.500 0.000 1
I1 I 0.500 0.500 0.500 1

Which is the most stable structure? (1) is the most stable.

(1)
# PuPbI6 GGA-PBE relaxed
# - V (A^3/atom) = 48.79
data_PuPbI6
_chemical_formula_sum 'Pu2 Pb2 I12'
_cell_length_a 7.746
_cell_length_b 13.705
_cell_length_c 7.720
_cell_angle_alpha 90.00
_cell_angle_beta 107.70
_cell_angle_gamma 90.00
_space_group_name_H-M_alt 'C 1 2/m 1'
_space_group_IT_number 12
_space_group_name_Hall '-C 2y'
loop_
_atom_site_label
_atom_site_type_symbol
_atom_site_fract_x
_atom_site_fract_y
_atom_site_fract_z
_atom_site_occupancy
Pu1 Pu 0.000 0.000 0.000 1
Pb1 Pb 0.000 0.500 0.500 1
I1 I 0.232 0.156 0.237 1
I2 I 0.243 0.000 0.764 1

(2)
# PuPbI6 GGA-PBE relaxed
# - V (A^3/atom) = 45.41
data_PuPbI6
_chemical_formula_sum 'Pu3 Pb3 I18'
_cell_length_a 7.7171
_cell_length_b 7.7171
_cell_length_c 21.1326
_cell_angle_alpha 90.00
_cell_angle_beta 90.00
_cell_angle_gamma 120.00
_space_group_name_H-M_alt 'R -3'
_space_group_IT_number 148
_space_group_name_Hall '-R 3'
loop_
_atom_site_label
_atom_site_type_symbol
_atom_site_fract_x
_atom_site_fract_y
_atom_site_fract_z
_atom_site_occupancy
Pu1 Pu 0.0000 0.0000 0.0000 1
Pb1 Pb 0.0000 0.0000 0.5000 1
I1 I 0.0047 0.6514 0.5856 1

Which is the most stable structure? (1) is the most stable.

(1)
# RbPb2I GGA-PBE relaxed
# - V (A^3/atom) = 43.84
data_RbPb2I
_chemical_formula_sum 'Rb4 Pb8 I4'
_cell_length_a 10.308
_cell_length_b 10.308
_cell_length_c 6.602
_cell_angle_alpha 90.00
_cell_angle_beta 90.00
_cell_angle_gamma 90.00
_space_group_name_H-M_alt 'I -4 2 d'
_space_group_IT_number 122
_space_group_name_Hall 'I -4 2bw'
loop_
_atom_site_label
_atom_site_type_symbol
_atom_site_fract_x
_atom_site_fract_y
_atom_site_fract_z
_atom_site_occupancy
Rb1 Rb 0.000 0.000 0.000 1
Pb1 Pb 0.212 0.250 0.625 1
I1 I 0.000 0.000 0.500 1

(2)
# RbPb2I GGA-PBE relaxed
# - V (A^3/atom) = 38.12
data_RbPb2I
_chemical_formula_sum 'Rb4 Pb8 I4'
_cell_length_a 8.480
_cell_length_b 8.480
_cell_length_c 8.480
_cell_angle_alpha 90.00
_cell_angle_beta 90.00
_cell_angle_gamma 90.00
_space_group_name_H-M_alt 'F m -3 m'
_space_group_IT_number 225
_space_group_name_Hall '-F 4 2 3'
loop_
_atom_site_label
_atom_site_type_symbol
_atom_site_fract_x
_atom_site_fract_y
_atom_site_fract_z
_atom_site_occupancy
Rb1 Rb 0.000 0.000 0.000 1
Pb1 Pb 0.250 0.250 0.250 1
I1 I 0.000 0.000 0.500 1

Which is the most stable structure? (1) is the most stable.

(1)
# Rb2PbI GGA-PBE relaxed
# - V (A^3/atom) = 49.03
data_Rb2PbI
_chemical_formula_sum 'Rb8 Pb4 I4'
_cell_length_a 9.223
_cell_length_b 9.223
_cell_length_c 9.223
_cell_angle_alpha 90.00
_cell_angle_beta 90.00
_cell_angle_gamma 90.00
_space_group_name_H-M_alt 'F m -3 m'
_space_group_IT_number 225
_space_group_name_Hall '-F 4 2 3'
loop_
_atom_site_label
_atom_site_type_symbol
_atom_site_fract_x
_atom_site_fract_y
_atom_site_fract_z
_atom_site_occupancy
Rb1 Rb 0.250 0.250 0.250 1
Pb1 Pb 0.000 0.000 0.000 1
I1 I 0.000 0.000 0.500 1

(2)
# Rb2PbI GGA-PBE relaxed
# - V (A^3/atom) = 49.91
data_Rb2PbI
_chemical_formula_sum 'Rb8 Pb4 I4'
_cell_length_a 10.141
_cell_length_b 10.141
_cell_length_c 7.765
_cell_angle_alpha 90.00
_cell_angle_beta 90.00
_cell_angle_gamma 90.00
_space_group_name_H-M_alt 'I -4 2 d'
_space_group_IT_number 122
_space_group_name_Hall 'I -4 2bw'
loop_
_atom_site_label
_atom_site_type_symbol
_atom_site_fract_x
_atom_site_fract_y
_atom_site_fract_z
_atom_site_occupancy
Rb1 Rb 0.226 0.250 0.125 1
Pb1 Pb 0.000 0.000 0.500 1
I1 I 0.000 0.000 0.000 1

Which is the most stable structure? (1) is the most stable.